Entry 1:
Density functional theory data (PBE) for an optimized crystal structure of AcZnSiPd2.

The structure belongs to space group Imm2 (No. 44); the cell edges are 4.196, 4.404 and 10.906 Å and the angles 90.00°, 90.00° and 90.00°. The asymmetric unit holds Ac at (0.000, 0.000, 0.000), Zn at (0.000, 0.500, 0.753), Si at (0.000, 0.000, 0.630), Pd at (0.000, 0.000, 0.406) and Pd at (0.000, 0.500, 0.240).

The calculation puts the formation energy without anion corrections at -0.6907 eV/atom. The total magnetization comes out at 0.000 μB per atom.

---

Entry 2:
Density functional theory data (PBE) for an optimized crystal structure of AcSm2Pd.

The structure belongs to space group P4/mmm (No. 123); the cell edges are 3.690, 3.690 and 9.085 Å and the angles 90.00°, 90.00° and 90.00°. The asymmetric unit holds Ac at (0.000, 0.000, 0.000), Sm at (0.500, 0.500, 0.316) and Pd at (0.000, 0.000, 0.500).

The calculation puts the energy above the lowest structure with this stoichiometry at 0.065 eV per atom. The value obtained for the calculated formation energy is -0.3485 eV/atom. The total magnetization comes out at 0.000 μB per atom.

---

Entry 3:
Density functional theory data (PBE) for an optimized crystal structure of AcSm2Pd.

The structure belongs to space group P4/mmm (No. 123); the cell edges are 5.523, 5.523 and 3.872 Å and the angles 90.00°, 90.00° and 90.00°. The asymmetric unit holds Ac at (0.000, 0.000, 0.000), Sm at (0.000, 0.500, 0.500) and Pd at (0.500, 0.500, 0.000).

The calculation puts the energy above the lowest structure with this stoichiometry at 0.388 eV per atom. The value obtained for the calculated formation energy is -0.0258 eV/atom. The total magnetization comes out at 0.000 μB per atom.

---

Entry 4:
Density functional theory data (PBE) for an optimized crystal structure of Ac2SmPd2.

The structure belongs to space group C2/m (No. 12); the cell edges are 13.701, 4.183 and 11.986 Å and the angles 90.00°, 119.05° and 90.00°. The asymmetric unit holds Ac at (0.038, 0.000, 0.191), Ac at (0.165, 0.000, 0.576), Sm at (0.211, 0.500, 0.863), Pd at (0.006, 0.500, 0.378) and Pd at (0.122, 0.500, 0.051).

The calculation puts the energy above the lowest structure with this stoichiometry at 0.000 eV per atom. The value obtained for the calculated formation energy is -0.6562 eV/atom. The total magnetization comes out at 0.000 μB per atom.

---

Entry 5:
Density functional theory data (PBE) for an optimized crystal structure of Ac2SmPd9.

The structure belongs to space group R-3m (No. 166, hexagonal axes); the cell edges are 5.4833, 5.4833 and 27.6889 Å and the angles 90.00°, 90.00° and 120.00°. The asymmetric unit holds Ac at (0.0000, 0.0000, 0.1364), Sm at (0.0000, 0.0000, 0.0000), Pd at (0.0000, 0.0000, 0.3330), Pd at (0.0000, 0.0000, 0.5000) and Pd at (0.0014, 0.5007, 0.9176).

The calculation puts the energy above the lowest structure with this stoichiometry at 0.067 eV per atom. The value obtained for the calculated formation energy is -0.6787 eV/atom. The total magnetization comes out at 0.000 μB per atom.

---

Entry 6:
Density functional theory data (PBE) for an optimized crystal structure of Ac3SmPd12.

The structure belongs to space group P4/mmm (No. 123); the cell edges are 4.278, 4.278 and 17.134 Å and the angles 90.00°, 90.00° and 90.00°. The asymmetric unit holds Ac at (0.000, 0.000, 0.000), Ac at (0.000, 0.000, 0.255), Sm at (0.000, 0.000, 0.500), Pd at (0.000, 0.500, 0.127), Pd at (0.000, 0.500, 0.381), Pd at (0.500, 0.500, 0.000), Pd at (0.500, 0.500, 0.254) and Pd at (0.500, 0.500, 0.500).

The value obtained for the calculated formation energy is -0.7459 eV/atom. The total magnetization comes out at 0.000 μB per atom.

---

Entry 7:
Density functional theory data (PBE) for an optimized crystal structure of Ac2SmPd2.

The structure belongs to space group P4/mbm (No. 127); the cell edges are 8.274, 8.274 and 4.251 Å and the angles 90.00°, 90.00° and 90.00°. The asymmetric unit holds Ac at (0.169, 0.331, 0.000), Sm at (0.000, 0.000, 0.500) and Pd at (0.130, 0.630, 0.500).

The calculation puts the energy above the lowest structure with this stoichiometry at 0.003 eV per atom. The value obtained for the calculated formation energy is -0.6537 eV/atom. The total magnetization comes out at 0.000 μB per atom.

---

Entry 8:
Density functional theory data (PBE) for an optimized crystal structure of Ac3SmPd.

The structure belongs to space group Pm-3m (No. 221); the cell edges are 5.941, 5.941 and 5.941 Å and the angles 90.00°, 90.00° and 90.00°. The asymmetric unit holds Ac at (0.000, 0.000, 0.500), Sm at (0.500, 0.500, 0.500) and Pd at (0.000, 0.000, 0.000).

The value obtained for the calculated formation energy is -0.1045 eV/atom. The total magnetization comes out at 0.002 μB per atom.

---

Entry 9:
Density functional theory data (PBE) for an optimized crystal structure of AcSm2Pd.

The structure belongs to space group Pnma (No. 62); the cell edges are 7.402, 10.238 and 6.709 Å and the angles 90.00°, 90.00° and 90.00°. The asymmetric unit holds Ac at (0.026, 0.250, 0.143), Sm at (0.177, 0.063, 0.667) and Pd at (0.114, 0.750, 0.411).

The calculation puts the energy above the lowest structure with this stoichiometry at 0.000 eV per atom. The value obtained for the calculated formation energy is -0.4140 eV/atom. The total magnetization comes out at 0.000 μB per atom.

---

Entry 10:
Density functional theory data (PBE) for an optimized crystal structure of AcSm2Pd4.

The structure belongs to space group Immm (No. 71); the cell edges are 3.994, 4.443 and 19.105 Å and the angles 90.00°, 90.00° and 90.00°. The asymmetric unit holds Ac at (0.000, 0.000, 0.000), Sm at (0.000, 0.500, 0.186), Pd at (0.000, 0.000, 0.429) and Pd at (0.000, 0.500, 0.340).

The value obtained for the calculated formation energy is -0.8352 eV/atom. The total magnetization comes out at 0.000 μB per atom.

---

Entry 11:
Density functional theory data (PBE) for an optimized crystal structure of AcSm2Pd.

The structure belongs to space group R3m (No. 160, hexagonal axes); the cell edges are 4.0770, 4.0770 and 28.4912 Å and the angles 90.00°, 90.00° and 120.00°. The asymmetric unit holds Ac at (0.0000, 0.0000, 0.0000), Sm at (0.0000, 0.0000, 0.2265), Sm at (0.0000, 0.0000, 0.4438) and Pd at (0.0000, 0.0000, 0.8357).

The calculation puts the energy above the lowest structure with this stoichiometry at 0.115 eV per atom. The value obtained for the calculated formation energy is -0.2989 eV/atom. The total magnetization comes out at 0.000 μB per atom.

---

Entry 12:
Density functional theory data (PBE) for an optimized crystal structure of Ac3SmPd8.

The structure belongs to space group R3m (No. 160, hexagonal axes); the cell edges are 5.6341, 5.6341 and 27.6720 Å and the angles 90.00°, 90.00° and 120.00°. The asymmetric unit holds Ac at (0.0000, 0.0000, 0.0000), Ac at (0.0000, 0.0000, 0.1262), Ac at (0.0000, 0.0000, 0.5057), Sm at (0.0000, 0.0000, 0.6295), Pd at (0.0000, 0.0000, 0.3148), Pd at (0.0000, 0.0000, 0.8150), Pd at (0.0002, 0.5001, 0.5661) and Pd at (0.1672, 0.3343, 0.3971).

The value obtained for the calculated formation energy is -0.7598 eV/atom. The total magnetization comes out at 0.000 μB per atom.